[1]
Material: HfZrN2O
Method: DFT, PBE
State: optimized geometry

Output
calculated total energy	-10.1691	eV/atom

Cell and atoms, written as extended XYZ:
```
5
Lattice="2.814 -2.821 0.000 2.814 2.821 0.000 -2.443 0.000 5.491" Properties=species:S:1:pos:R:3 pbc="T T T"
Hf 0.000 0.000 0.000
Zr 0.338 0.000 3.897
N 1.768 1.409 4.725
N 1.768 -1.409 4.725
O 0.098 0.000 1.935
```



[2]
Material: HfZrNO
Method: DFT, PBE
State: optimized geometry

Output
polymorph energy (0 for the lowest one)	2.246	eV per formula unit

Cell and atoms, written as extended XYZ:
```
8
Lattice="3.702 0.000 0.000 0.000 3.702 0.000 0.000 0.000 7.548" Properties=species:S:1:pos:R:3 pbc="T T T"
Hf 0.925 0.925 1.091
Hf 2.776 2.776 6.457
Zr 0.925 2.776 3.774
Zr 2.776 0.925 3.774
N 0.925 0.925 5.279
N 2.776 2.776 2.270
O 0.925 2.776 0.000
O 2.776 0.925 0.000
```



[3]
Material: HfZrNO
Method: DFT, PBE
State: optimized geometry

Output
polymorph energy (0 for the lowest one)	0.548	eV per formula unit

Cell and atoms, written as extended XYZ:
```
8
Lattice="3.417 0.000 0.000 0.000 6.046 0.000 0.000 0.000 5.643" Properties=species:S:1:pos:R:3 pbc="T T T"
Hf 0.000 1.060 0.000
Hf 0.000 4.986 2.821
Zr 1.708 2.281 2.460
Zr 1.708 3.765 5.281
N 0.000 0.931 2.166
N 0.000 5.114 4.987
O 1.708 1.501 4.581
O 1.708 4.545 1.759
```



[4]
Material: HfZrNO
Method: DFT, PBE
State: optimized geometry

Output
polymorph energy (0 for the lowest one)	0.688	eV per formula unit

Cell and atoms, written as extended XYZ:
```
8
Lattice="3.400 0.000 0.000 0.000 5.963 0.000 0.000 0.000 5.734" Properties=species:S:1:pos:R:3 pbc="T T T"
Hf 0.000 0.739 0.000
Hf 0.000 5.225 2.867
Zr 1.700 1.918 3.233
Zr 1.700 4.045 0.366
N 1.700 1.999 5.440
N 1.700 3.964 2.573
O 0.000 1.424 2.054
O 0.000 4.539 4.921
```



[5]
Material: HfZrNO
Method: DFT, PBE
State: optimized geometry

Output
polymorph energy (0 for the lowest one)	0.112	eV per formula unit

Cell and atoms, written as extended XYZ:
```
4
Lattice="3.214 0.000 0.000 0.000 3.214 0.000 0.000 0.000 4.570" Properties=species:S:1:pos:R:3 pbc="T T T"
Hf 0.000 0.000 0.000
Zr 1.607 1.607 2.285
N 1.607 1.607 0.000
O 0.000 0.000 2.285
```



[6]
Material: HfZrNO
Method: DFT, PBE
State: optimized geometry

Output
polymorph energy (0 for the lowest one)	0.360	eV per formula unit

Cell and atoms, written as extended XYZ:
```
16
Lattice="7.702 0.000 0.000 0.000 6.377 0.000 0.000 0.000 4.538" Properties=species:S:1:pos:R:3 pbc="T T T"
Hf 1.163 0.616 1.134
Hf 1.163 2.573 3.403
Hf 6.539 3.804 1.134
Hf 6.539 5.762 3.403
Zr 2.967 3.606 1.134
Zr 2.967 5.960 3.403
Zr 4.735 0.417 1.134
Zr 4.735 2.771 3.403
N 2.790 3.764 3.403
N 2.790 5.801 1.134
N 4.912 0.576 3.403
N 4.912 2.613 1.134
O 0.725 0.420 3.403
O 0.725 2.768 1.134
O 6.977 3.609 3.403
O 6.977 5.957 1.134
```



[7]
Material: Hf3PN2
Method: DFT, PBE
State: optimized geometry

Output
calculated total energy	-10.1544	eV/atom

Cell and atoms, written as extended XYZ:
```
12
Lattice="3.281 0.000 0.000 -1.640 2.841 0.000 0.000 0.000 17.362" Properties=species:S:1:pos:R:3 pbc="T T T"
Hf 0.000 0.000 0.000
Hf 0.000 0.000 8.681
Hf 0.000 1.894 2.573
Hf 0.000 1.894 6.108
Hf 1.640 0.947 11.254
Hf 1.640 0.947 14.789
P 0.000 0.000 4.340
P 0.000 0.000 13.021
N 0.000 1.894 9.941
N 0.000 1.894 16.101
N 1.640 0.947 1.260
N 1.640 0.947 7.421
```



[8]
Material: Hf4PN3
Method: DFT, PBE
State: optimized geometry

Output
calculated total energy	-10.3554	eV/atom

Cell and atoms, written as extended XYZ:
```
16
Lattice="3.269 0.000 0.000 -1.634 2.831 0.000 0.000 0.000 22.461" Properties=species:S:1:pos:R:3 pbc="T T T"
Hf 0.000 0.000 3.835
Hf 0.000 0.000 7.396
Hf 0.000 0.000 15.066
Hf 0.000 0.000 18.626
Hf 0.000 1.887 1.336
Hf 0.000 1.887 9.895
Hf 1.634 0.944 12.567
Hf 1.634 0.944 21.125
P 0.000 1.887 5.615
P 1.634 0.944 16.846
N 0.000 0.000 0.000
N 0.000 0.000 11.231
N 0.000 1.887 13.771
N 0.000 1.887 19.921
N 1.634 0.944 2.541
N 1.634 0.944 8.690
```



[9]
Material: Hf4PPbN2
Method: DFT, PBE
State: optimized geometry

Output
calculated total energy	-9.3562	eV/atom

Cell and atoms, written as extended XYZ:
```
8
Lattice="3.335 0.000 0.000 -1.667 2.888 0.000 0.000 0.000 13.277" Properties=species:S:1:pos:R:3 pbc="T T T"
Hf 0.000 0.000 1.766
Hf 0.000 0.000 11.511
Hf 1.667 0.963 4.189
Hf 1.667 0.963 9.088
P 1.667 0.963 0.000
Pb 0.000 0.000 6.639
N 0.000 1.925 3.008
N 0.000 1.925 10.269
```



[10]
Material: Hf4PPbN2
Method: DFT, PBE
State: optimized geometry

Output
calculated total energy	-9.3561	eV/atom

Cell and atoms, written as extended XYZ:
```
8
Lattice="3.335 0.000 0.000 -1.667 2.888 0.000 0.000 0.000 13.277" Properties=species:S:1:pos:R:3 pbc="T T T"
Hf 0.000 0.000 1.766
Hf 0.000 0.000 11.511
Hf 0.000 1.925 4.189
Hf 0.000 1.925 9.088
P 0.000 1.925 0.000
Pb 0.000 0.000 6.639
N 1.667 0.963 3.008
N 1.667 0.963 10.269
```



[11]
Material: Hf4SnPN2
Method: DFT, PBE
State: optimized geometry

Output
calculated total energy	-9.4737	eV/atom

Cell and atoms, written as extended XYZ:
```
8
Lattice="3.320 0.000 0.000 -1.660 2.875 0.000 0.000 0.000 13.138" Properties=species:S:1:pos:R:3 pbc="T T T"
Hf 0.000 0.000 1.772
Hf 0.000 0.000 11.367
Hf 0.000 1.917 4.216
Hf 0.000 1.917 8.922
Sn 0.000 0.000 6.569
P 0.000 1.917 0.000
N 1.660 0.958 3.019
N 1.660 0.958 10.119
```



[12]
Material: Hf4TlPN2
Method: DFT, PBE
State: optimized geometry

Output
calculated total energy	-9.2143	eV/atom

Cell and atoms, written as extended XYZ:
```
8
Lattice="3.318 0.000 0.000 -1.659 2.873 0.000 0.000 0.000 13.296" Properties=species:S:1:pos:R:3 pbc="T T T"
Hf 0.000 0.000 1.762
Hf 0.000 0.000 11.533
Hf 1.659 0.958 4.207
Hf 1.659 0.958 9.089
Tl 0.000 0.000 6.648
P 1.659 0.958 0.000
N 0.000 1.916 3.036
N 0.000 1.916 10.259
```



| no. | calculated density (g/cm³) |
| --- | --- |
| 1 | 6.0 |
| 2 | 9.6 |
| 3 | 8.5 |
| 4 | 8.6 |
| 5 | 10.5 |
| 6 | 8.9 |
| 7 | 12.2 |
| 8 | 12.6 |
| 9 | 12.7 |
| 10 | 12.7 |
| 11 | 11.8 |
| 12 | 12.8 |